No. 1
# SrLi2Tc (PBE, optimized geometry)
# **Formation energy**: 0.686 eV/atom
# **VASP energy**: -26.264 eV for the cell shown
# **Density of states at the Fermi level**: 6.5 states/eV/cell
# **Energy above the lowest structure with this stoichiometry**: 10.7 kJ/mol of atoms
data_SrLi2Tc
_cell_length_a 3.466
_cell_length_b 5.068
_cell_length_c 9.590
_cell_angle_alpha 90.00
_cell_angle_beta 90.00
_cell_angle_gamma 90.00
_symmetry_space_group_name_H-M 'I m m 2'
_symmetry_Int_Tables_number 44
_symmetry_space_group_name_Hall 'I 2 -2'
loop_
_atom_site_label
_atom_site_type_symbol
_atom_site_fract_x
_atom_site_fract_y
_atom_site_fract_z
_atom_site_occupancy
Sr1 Sr 0.000 0.000 0.000 1
Li1 Li 0.000 0.000 0.488 1
Li2 Li 0.000 0.500 0.223 1
Tc1 Tc 0.000 0.500 0.769 1



No. 2
# Sr4LiTc (PBE, optimized geometry)
# **Formation energy**: 1.069 eV/atom
# **VASP energy**: -50.373 eV for the cell shown
# **Density of states at the Fermi level**: 43.6 states/eV/cell
data_Sr4LiTc
_cell_length_a 10.224
_cell_length_b 10.224
_cell_length_c 10.224
_cell_angle_alpha 90.00
_cell_angle_beta 90.00
_cell_angle_gamma 90.00
_symmetry_space_group_name_H-M 'F -4 3 m'
_symmetry_Int_Tables_number 216
_symmetry_space_group_name_Hall 'F -4 2 3'
loop_
_atom_site_label
_atom_site_type_symbol
_atom_site_fract_x
_atom_site_fract_y
_atom_site_fract_z
_atom_site_occupancy
Sr1 Sr 0.124 0.124 0.124 1
Li1 Li 0.000 0.000 0.500 1
Tc1 Tc 0.250 0.250 0.750 1



No. 3
# SrLi2Tc (PBE, optimized geometry)
# **Formation energy**: 0.873 eV/atom
# **VASP energy**: -37.156 eV for the cell shown
# **Density of states at the Fermi level**: 15.0 states/eV/cell
# **Energy above the lowest structure with this stoichiometry**: 28.7 kJ/mol of atoms
data_SrLi2Tc
_cell_length_a 3.0315
_cell_length_b 3.0315
_cell_length_c 31.7357
_cell_angle_alpha 90.00
_cell_angle_beta 90.00
_cell_angle_gamma 120.00
_symmetry_space_group_name_H-M 'R -3 m'
_symmetry_Int_Tables_number 166
_symmetry_space_group_name_Hall '-R 3 2"'
loop_
_atom_site_label
_atom_site_type_symbol
_atom_site_fract_x
_atom_site_fract_y
_atom_site_fract_z
_atom_site_occupancy
Sr1 Sr 0.0000 0.0000 0.0000 1
Li1 Li 0.0000 0.0000 0.2346 1
Tc1 Tc 0.0000 0.0000 0.5000 1